[1]
Computed, not measured: a crystal of HfMgAl3 relaxed with PBEsol at the meta-GGA SCAN level of DFT.

Structure (CIF):
```
data_HfMgAl3
_chemical_formula_sum 'Hf1 Mg1 Al3'
_symmetry_space_group_name_H-M 'P 1'
_symmetry_Int_Tables_number 1
_symmetry_space_group_name_Hall 'P 1'
_cell_length_a 5.138
_cell_length_b 5.138
_cell_length_c 5.138
_cell_angle_alpha 90.00
_cell_angle_beta 90.00
_cell_angle_gamma 90.00
loop_
_atom_site_label
_atom_site_type_symbol
_atom_site_fract_x
_atom_site_fract_y
_atom_site_fract_z
Hf1 Hf 0.000 0.000 0.000
Mg1 Mg 0.500 0.500 0.500
Al1 Al 0.000 0.000 0.500
Al2 Al 0.000 0.500 0.000
Al3 Al 0.500 0.000 0.000
```

## Properties
* energy above the most stable polymorph in this dataset: 0.0 meV per atom
* energy relative to the elements: 20.60 kcal/mol of atoms
* calculated volume: 135.7 Å³/cell



[2]
Computed, not measured: a crystal of HfMg2Al2 relaxed with PBEsol at the meta-GGA SCAN level of DFT.

Structure (CIF):
```
data_HfMg2Al2
_chemical_formula_sum 'Hf2 Mg4 Al4'
_symmetry_space_group_name_H-M 'P 1'
_symmetry_Int_Tables_number 1
_symmetry_space_group_name_Hall 'P 1'
_cell_length_a 7.926
_cell_length_b 7.926
_cell_length_c 2.996
_cell_angle_alpha 90.00
_cell_angle_beta 90.00
_cell_angle_gamma 90.00
loop_
_atom_site_label
_atom_site_type_symbol
_atom_site_fract_x
_atom_site_fract_y
_atom_site_fract_z
Hf1 Hf 0.000 0.000 0.000
Hf2 Hf 0.500 0.500 0.000
Mg1 Mg 0.124 0.376 0.000
Mg2 Mg 0.376 0.876 0.000
Mg3 Mg 0.624 0.124 0.000
Mg4 Mg 0.876 0.624 0.000
Al1 Al 0.175 0.675 0.500
Al2 Al 0.325 0.175 0.500
Al3 Al 0.675 0.825 0.500
Al4 Al 0.825 0.325 0.500
```

## Properties
* energy relative to the elements: 1.53 kcal/mol of atoms
* calculated volume: 188.2 Å³/cell



[3]
Computed, not measured: a crystal of YHf2MnAl relaxed with PBEsol at the meta-GGA SCAN level of DFT.

Structure (CIF):
```
data_YHf2MnAl
_chemical_formula_sum 'Y1 Hf2 Mn1 Al1'
_symmetry_space_group_name_H-M 'P 1'
_symmetry_Int_Tables_number 1
_symmetry_space_group_name_Hall 'P 1'
_cell_length_a 5.101
_cell_length_b 5.101
_cell_length_c 4.475
_cell_angle_alpha 90.00
_cell_angle_beta 90.00
_cell_angle_gamma 90.00
loop_
_atom_site_label
_atom_site_type_symbol
_atom_site_fract_x
_atom_site_fract_y
_atom_site_fract_z
Y1 Y 0.000 0.000 0.000
Hf1 Hf 0.000 0.500 0.000
Hf2 Hf 0.500 0.000 0.000
Mn1 Mn 0.000 0.000 0.500
Al1 Al 0.500 0.500 0.500
```

## Properties
* energy relative to the elements: 37.00 kcal/mol of atoms
* calculated volume: 116.4 Å³/cell



- The lowest calculated volume belongs to which entry?
  YHf2MnAl